Here is a geometry-optimized CuSnIr structure from the Alexandria database. Energies are from PBE-GGA.

Computed properties:
- ΔE_f (meV/atom) = -5
- ρ (g/cm3) = 10.99
- crystal system = cubic

abc: 4.3092 4.3092 4.3092
angles: 60.00 60.00 60.00
Fractional positions:
Cu 0.0000 0.0000 0.0000
Sn 0.5000 0.5000 0.5000
Ir 0.7500 0.7500 0.7500